1.
This record from Alexandria via LeMat-Bulk describes an optimized crystal structure of AcAlCd4. The functional is PBE-GGA. Values from VASP.

- Energy above the lowest structure with this stoichiometry: 0 meV/atom
- ΔH_f (0 K): -0.21 eV/atom
- Total magnetization: 0.00 μB per atom
- Final energy: -2.132 eV/atom

Structure (Quantum ESPRESSO input):
```
&SYSTEM
  ibrav = 0, nat = 12, ntyp = 3
/
ATOMIC_SPECIES
Ac 227.00 Ac.upf
Al 26.98 Al.upf
Cd 112.41 Cd.upf
CELL_PARAMETERS angstrom
-1.4298 4.1387 1.6787
-7.0263 -1.8775 -1.3558
0.0954 -5.5285 7.1616
ATOMIC_POSITIONS crystal
Ac 0.1258 0.2500 0.2517
Ac 0.8742 0.7500 0.7483
Al 0.2284 0.7500 0.4569
Al 0.7716 0.2500 0.5431
Cd 0.5000 0.5000 0.0000
Cd 0.5000 0.0000 0.0000
Cd 0.6769 0.9451 0.3538
Cd 0.3231 0.0549 0.6462
Cd 0.3231 0.4451 0.6462
Cd 0.6769 0.5549 0.3538
Cd 0.0672 0.7500 0.1344
Cd 0.9328 0.2500 0.8656
```

---

2.
This record from Alexandria via LeMat-Bulk describes an optimized crystal structure of YCdHg. The functional is PBE-GGA. Values from VASP.

- ΔH_f (0 K): -0.21 eV/atom
- Total magnetization: 0.00 μB per atom
- Final energy: -2.771 eV/atom

Structure (Quantum ESPRESSO input):
```
&SYSTEM
  ibrav = 0, nat = 3, ntyp = 3
/
ATOMIC_SPECIES
Cd 112.41 Cd.upf
Hg 200.59 Hg.upf
Y 88.91 Y.upf
CELL_PARAMETERS angstrom
3.7564 0.0000 0.0000
-1.8782 3.2531 0.0000
0.0000 0.0000 6.6740
ATOMIC_POSITIONS crystal
Cd 0.0000 0.0000 0.0127
Hg 0.6667 0.3333 0.3270
Y 0.3333 0.6667 0.6603
```